Entry 1:
HgAu3I8 | PBE | optimized geometry

Output
* energy: -0.06945 hartree per atom
* D(E_F): 0.512 states/eV per atom
* space-group type: Cm (8)
* size of the total moment: 0.00 Bohr magnetons per cell
* ΔE_f (raw): -0.012 eV per atom

The structure in POSCAR format:
```
HgAu3I8
1.0
11.164 -2.458 0.000
11.164 2.458 0.000
-3.742 0.000 10.491
Hg Au I
1 3 8
Cartesian
0.000 0.000 0.000
14.312 0.000 5.153
13.788 0.000 9.626
18.791 0.000 5.637
-2.277 0.000 8.077
2.381 0.000 4.163
1.615 0.000 10.376
8.566 0.000 4.799
12.219 0.000 1.291
12.556 0.000 7.203
16.705 0.000 3.889
19.650 0.000 0.899
```


Entry 2:
PmSmPdPt | PBE | optimized geometry

Output
* energy of formation: -4.09 eV/f.u.
* energy above the lowest structure with this stoichiometry: 0.000 eV/atom
* energy: -0.22776 hartree per atom
* D(E_F): 0.659 states/eV per atom
* space-group type: Amm2 (38)
* size of the total moment: 0.00 Bohr magnetons per cell

The structure in POSCAR format:
```
PmSmPdPt
1.0
4.566 0.000 0.000
0.000 1.940 5.385
0.000 -1.940 5.385
Pm Sm Pd Pt
1 1 1 1
Cartesian
0.000 0.000 0.000
2.283 0.000 7.817
2.283 0.000 4.836
0.000 0.000 2.971
```


Entry 3:
ZrBHS2 | PBE | optimized geometry

Output
* energy: -0.17902 hartree per atom
* D(E_F): 0.184 states/eV per atom
* space-group type: P4/mmm (123)
* size of the total moment: 0.00 Bohr magnetons per cell

The structure in POSCAR format:
```
ZrBHS2
1.0
4.474 0.000 0.000
0.000 4.474 0.000
0.000 0.000 3.485
Zr B H S
1 1 1 2
Cartesian
0.000 0.000 0.000
2.237 2.237 0.000
0.000 0.000 1.742
0.000 2.237 1.742
2.237 0.000 1.742
```


Entry 4:
GdTaRe4 | PBE | optimized geometry

Output
* energy of formation: -0.08 eV/f.u.
* energy: -0.46431 hartree per atom
* D(E_F): 1.349 states/eV per atom
* space-group type: F-43m (216)
* size of the total moment: 6.82 Bohr magnetons per cell

The structure in POSCAR format:
```
GdTaRe4
1.0
0.000 3.763 3.763
3.763 0.000 3.763
3.763 3.763 0.000
Gd Ta Re
1 1 4
Cartesian
0.000 0.000 0.000
1.881 1.881 1.881
4.701 2.825 2.825
2.825 4.701 2.825
2.825 2.825 4.701
4.701 4.701 4.701
```


Entry 5:
Zr2Tl2CuTe6 | PBE | optimized geometry

Output
* energy: -0.16794 hartree per atom
* D(E_F): 0.652 states/eV per atom
* space-group type: C2/m (12)
* size of the total moment: 0.00 Bohr magnetons per cell
* ΔE_f (raw): -0.500 eV per atom

The structure in POSCAR format:
```
Zr2Tl2CuTe6
1.0
3.521 -6.268 0.000
3.521 6.268 0.000
-2.516 0.000 8.243
Zr Tl Cu Te
2 2 1 6
Cartesian
3.521 4.128 0.000
3.521 -4.128 0.000
2.263 2.106 4.122
2.263 -2.106 4.122
3.521 0.000 0.000
-0.173 2.067 6.538
1.332 0.000 1.548
-0.173 -2.067 6.538
4.699 2.067 1.705
3.194 0.000 6.695
4.699 -2.067 1.705
```


Entry 6:
LiNbPt3 | PBE | optimized geometry

Output
* energy of formation: 1.00 eV/f.u.
* energy above the lowest structure with this stoichiometry: 0.642 eV/atom
* energy: -0.21390 hartree per atom
* D(E_F): 3.242 states/eV per atom
* space-group type: Pm-3m (221)
* size of the total moment: 0.00 Bohr magnetons per cell

The structure in POSCAR format:
```
LiNbPt3
1.0
4.247 0.000 0.000
0.000 4.247 0.000
0.000 0.000 4.247
Li Nb Pt
1 1 3
Cartesian
0.000 0.000 0.000
2.124 2.124 2.124
0.000 0.000 2.124
0.000 2.124 0.000
2.124 0.000 0.000
```